The following is a PBE calculation of crystalline CaH2PtF8 at its relaxed geometry, from Alexandria.

abc: 5.123 5.123 6.772
angles: 87.14 86.93 73.45
Sites, in units of the cell vectors:
F 0.769 0.193 0.782
F 0.761 0.763 0.061
F 0.273 0.270 0.583
F 0.239 0.237 0.939
F 0.231 0.807 0.218
F 0.808 0.232 0.218
F 0.192 0.768 0.782
F 0.727 0.730 0.417
H 0.726 0.728 0.266
H 0.274 0.272 0.734
Pt 0.000 0.000 0.000
Ca 0.000 0.000 0.500

Output
Space group ... P-1
Final energy ... -54.4 eV for the cell shown